No. 1
{"formula": "KGaW", "functional": "PBE", "state": "relaxed", "m_tot_mub_per_fu": 4.1, "de_polymorph_mev_per_atom": 664, "lattice": [[0.0000, 3.6431, 3.6431], [3.6431, 0.0000, 3.6431], [3.6431, 3.6431, 0.0000]], "species": ["Ga", "K", "W"], "fractional_positions": [[0.2500, 0.2500, 0.2500], [0.0000, 0.0000, 0.0000], [0.7500, 0.7500, 0.7500]]}



No. 2
{"formula": "KGaW", "functional": "PBE", "state": "relaxed", "m_tot_mub_per_fu": 2.9, "de_polymorph_mev_per_atom": 0, "lattice": [[-1.9695, -2.7998, 3.3877], [-4.7908, -0.3011, 0.3893], [-2.2672, -4.0608, -1.2508]], "species": ["Ga", "K", "W"], "fractional_positions": [[0.0000, 0.0000, 0.0000], [0.2500, 0.2500, 0.2500], [0.7500, 0.7500, 0.7500]]}



No. 3
{"formula": "K6ZnGa2", "functional": "PBE", "state": "relaxed", "lattice": [[5.4773, -3.0630, 0.0000], [5.4773, 3.0630, 0.0000], [-2.9962, 0.0000, 10.7663]], "species": ["Ga", "Ga", "K", "K", "K", "K", "K", "K", "Zn"], "fractional_positions": [[0.1007, 0.1007, 0.2296], [0.8993, 0.8993, 0.7704], [0.6984, 0.6984, 0.0773], [0.4448, 0.4448, 0.2745], [0.8175, 0.8175, 0.4331], [0.1825, 0.1825, 0.5669], [0.5552, 0.5552, 0.7255], [0.3016, 0.3016, 0.9227], [0.0000, 0.0000, 0.0000]]}



No. 4
{"formula": "KZrGa", "functional": "PBE", "state": "relaxed", "m_tot_mub_per_fu": 0.0, "de_polymorph_mev_per_atom": 0, "lattice": [[3.3796, -1.8155, 3.2058], [-1.4801, -1.9123, 4.3758], [0.2911, -4.9262, 0.8017]], "species": ["Ga", "K", "Zr"], "fractional_positions": [[0.0000, 0.0000, 0.0000], [0.2500, 0.2500, 0.2500], [0.7500, 0.7500, 0.7500]]}



No. 5
{"formula": "KZrGa", "functional": "PBE", "state": "relaxed", "m_tot_mub_per_fu": 0.0, "de_polymorph_mev_per_atom": 620, "lattice": [[1.7654, -4.0323, -2.0850], [-2.2857, -4.2576, 0.6096], [-2.3676, -2.0491, -3.7308]], "species": ["Ga", "K", "Zr"], "fractional_positions": [[0.2500, 0.2500, 0.2500], [0.0000, 0.0000, 0.0000], [0.7500, 0.7500, 0.7500]]}



No. 6
{"formula": "LaLuGa", "functional": "PBE", "state": "relaxed", "m_tot_mub_per_fu": 0.0, "de_polymorph_mev_per_atom": 600, "lattice": [[0.0000, 3.6004, 3.6004], [3.6004, 0.0000, 3.6004], [3.6004, 3.6004, 0.0000]], "species": ["Ga", "La", "Lu"], "fractional_positions": [[0.2500, 0.2500, 0.2500], [0.0000, 0.0000, 0.0000], [0.7500, 0.7500, 0.7500]]}



no.,E_tot (eV/atom)
1,-3.29
2,-3.95
3,-1.48
4,-3.45
5,-2.83
6,-3.80